# ZnTe2Cl

Crystalline ZnTe2Cl at its relaxed geometry (GGA-PBE, Alexandria via LeMat-Bulk).

Cell lengths 3.769, 4.759, 5.512 Å; angles 90.00, 90.00, 90.00 degrees
Sites, in units of the cell vectors:
Zn: 0.000 0.000 0.000
Te: 0.000 0.500 0.500
Te: 0.500 0.500 0.000
Cl: 0.500 0.000 0.500

Values from the calculation:
Space group: Pmmm (47)
Energy relative to the lowest polymorph listed for this composition in kJ/mol of atoms: 44.0
E_tot in eV/cell: -8.85
Formation energy without anion corrections in meV per atom: 138

# ZnTeCl

Crystalline ZnTeCl at its relaxed geometry (GGA-PBE, Alexandria via LeMat-Bulk).

Cell lengths 3.565, 3.565, 7.439 Å; angles 90.00, 90.00, 120.00 degrees
Sites, in units of the cell vectors:
Zn: 0.000 0.000 0.000
Te: 0.667 0.333 0.739
Cl: 0.333 0.667 0.190

Values from the calculation:
Space group: P3m1 (156)
E_tot in eV/cell: -7.75
Formation energy without anion corrections in meV per atom: -496

# Zn2TeCl

Crystalline Zn2TeCl at its relaxed geometry (GGA-PBE, Alexandria via LeMat-Bulk).

Cell lengths 3.647, 5.498, 9.425 Å; angles 90.00, 90.00, 90.00 degrees
Sites, in units of the cell vectors:
Zn: 0.000 0.000 0.000
Zn: 0.000 0.500 0.209
Zn: 0.500 0.000 0.209
Zn: 0.500 0.500 0.000
Te: 0.000 0.000 0.442
Te: 0.500 0.500 0.442
Cl: 0.000 0.500 0.834
Cl: 0.500 0.000 0.834

Values from the calculation:
Space group: Cmm2 (35)
Energy relative to the lowest polymorph listed for this composition in kJ/mol of atoms: 19.5
E_tot in eV/cell: -16.27
Formation energy without anion corrections in meV per atom: -149

# ZnTe2Cl

Crystalline ZnTe2Cl at its relaxed geometry (GGA-PBE, Alexandria via LeMat-Bulk).

Cell lengths 4.117, 6.962, 7.917 Å; angles 90.00, 90.00, 90.00 degrees
Sites, in units of the cell vectors:
Zn: 0.000 0.000 0.000
Zn: 0.500 0.500 0.000
Te: 0.000 0.500 0.205
Te: 0.000 0.500 0.795
Te: 0.500 0.000 0.205
Te: 0.500 0.000 0.795
Cl: 0.000 0.000 0.500
Cl: 0.500 0.500 0.500

Values from the calculation:
Space group: Cmmm (65)
Energy relative to the lowest polymorph listed for this composition in kJ/mol of atoms: 26.6
E_tot in eV/cell: -19.15
Formation energy without anion corrections in meV per atom: -43

# Zn2TeCl

Crystalline Zn2TeCl at its relaxed geometry (GGA-PBE, Alexandria via LeMat-Bulk).

Cell lengths 6.971, 6.971, 6.971 Å; angles 90.00, 90.00, 90.00 degrees
Sites, in units of the cell vectors:
Zn: 0.250 0.250 0.250
Zn: 0.250 0.250 0.750
Zn: 0.250 0.750 0.250
Zn: 0.250 0.750 0.750
Zn: 0.750 0.250 0.250
Zn: 0.750 0.250 0.750
Zn: 0.750 0.750 0.250
Zn: 0.750 0.750 0.750
Te: 0.000 0.000 0.000
Te: 0.000 0.500 0.500
Te: 0.500 0.000 0.500
Te: 0.500 0.500 0.000
Cl: 0.000 0.000 0.500
Cl: 0.000 0.500 0.000
Cl: 0.500 0.000 0.000
Cl: 0.500 0.500 0.500

Values from the calculation:
Space group: Fm-3m (225)
Energy relative to the lowest polymorph listed for this composition in kJ/mol of atoms: 24.9
E_tot in eV/cell: -31.63
Formation energy without anion corrections in meV per atom: -93

# ZnTe2Cl

Crystalline ZnTe2Cl at its relaxed geometry (GGA-PBE, Alexandria via LeMat-Bulk).

Cell lengths 5.255, 5.255, 18.330 Å; angles 90.00, 90.00, 90.00 degrees
Sites, in units of the cell vectors:
Zn: 0.000 0.000 0.000
Zn: 0.000 0.500 0.250
Zn: 0.500 0.000 0.750
Zn: 0.500 0.500 0.500
Te: 0.141 0.250 0.125
Te: 0.250 0.641 0.375
Te: 0.250 0.859 0.875
Te: 0.359 0.250 0.625
Te: 0.641 0.750 0.625
Te: 0.750 0.141 0.875
Te: 0.750 0.359 0.375
Te: 0.859 0.750 0.125
Cl: 0.000 0.000 0.500
Cl: 0.000 0.500 0.750
Cl: 0.500 0.000 0.250
Cl: 0.500 0.500 0.000

Values from the calculation:
Space group: I-42d (122)
Energy relative to the lowest polymorph listed for this composition in kJ/mol of atoms: 30.3
E_tot in eV/cell: -37.69
Formation energy without anion corrections in meV per atom: -4

What did the fourth record say?
# ZnTe2Cl

Crystalline ZnTe2Cl at its relaxed geometry (GGA-PBE, Alexandria via LeMat-Bulk).

Cell lengths 4.117, 6.962, 7.917 Å; angles 90.00, 90.00, 90.00 degrees
Sites, in units of the cell vectors:
Zn: 0.000 0.000 0.000
Zn: 0.500 0.500 0.000
Te: 0.000 0.500 0.205
Te: 0.000 0.500 0.795
Te: 0.500 0.000 0.205
Te: 0.500 0.000 0.795
Cl: 0.000 0.000 0.500
Cl: 0.500 0.500 0.500

Values from the calculation:
Space group: Cmmm (65)
Energy relative to the lowest polymorph listed for this composition in kJ/mol of atoms: 26.6
E_tot in eV/cell: -19.15
Formation energy without anion corrections in meV per atom: -43